First-principles (GGA-PBE) data for ZnIrPt3 after structural relaxation, as listed in Alexandria.

Lattice parameters (Å, degrees): 4.5246 4.5246 4.5246 90.00 90.00 90.00
With the nearest neighbours (Å) after each atom.
Space group Pm-3m (No. 221)
Unique sites:
Zn 0.0000 0.0000 0.0000 x1  6 Pt 2.26
Ir 0.5000 0.5000 0.5000 x1  12 Pt 3.20
Pt 0.0000 0.0000 0.5000 x3  2 Zn 2.26

Computed properties:
energy above the most stable polymorph in this dataset	0	meV/atom
energy of formation from the pure elements	1.25	eV/atom

***

First-principles (GGA-PBE) data for ZnIrPt after structural relaxation, as listed in Alexandria.

Lattice parameters (Å, degrees): 2.7641 4.5084 7.6060 90.00 90.00 90.00
With the nearest neighbours (Å) after each atom.
Space group Imm2 (No. 44)
Unique sites:
Zn 0.0000 0.0000 0.0000 x2  4 Ir 2.59-2.77, 4 Pt 2.61-2.76, 2 Zn 2.76
Ir 0.0000 0.5000 0.7873 x2  4 Zn 2.59-2.77, 4 Pt 2.71, 2 Ir 2.76
Pt 0.0000 0.5000 0.2090 x2  4 Zn 2.61-2.76, 4 Ir 2.71, 2 Pt 2.76

Computed properties:
energy above the most stable polymorph in this dataset	129	meV/atom
energy of formation from the pure elements	-0.02	eV/atom

***

First-principles (GGA-PBE) data for Zn2IrPt after structural relaxation, as listed in Alexandria.

Lattice parameters (Å, degrees): 4.1682 2.7535 10.0678 90.00 90.00 90.00
With the nearest neighbours (Å) after each atom.
Space group Amm2 (No. 38)
Unique sites:
Zn 0.0000 0.0000 0.0000 x2  4 Zn 2.55-2.75, 3 Ir 2.63-2.77, 4 Pt 2.68
Zn 0.5000 0.0000 0.1460 x2  4 Zn 2.55-2.75, 3 Pt 2.58-2.81, 4 Ir 2.67
Ir 0.0000 0.0000 0.7391 x2  7 Zn 2.63-2.77, 2 Ir 2.75
Pt 0.5000 0.0000 0.4026 x2  7 Zn 2.58-2.81, 2 Pt 2.75

Computed properties:
energy of formation from the pure elements	-0.22	eV/atom

***

First-principles (GGA-PBE) data for ZrIr2Pt after structural relaxation, as listed in Alexandria.

Lattice parameters (Å, degrees): 2.8242 2.8242 8.1636 90.00 90.00 90.00
With the nearest neighbours (Å) after each atom.
Space group P4mm (No. 99)
Unique sites:
Zr 0.0000 0.0000 0.0000 x1  4 Zr 2.82, 4 Pt 2.91, 4 Ir 2.95
Ir 0.0000 0.0000 0.4898 x1  8 Ir 2.71-2.82, 4 Pt 2.86
Ir 0.5000 0.5000 0.2659 x1  8 Ir 2.71-2.82, 4 Zr 2.95
Pt 0.5000 0.5000 0.7409 x1  4 Pt 2.82, 4 Ir 2.86, 4 Zr 2.91

Computed properties:
energy of formation from the pure elements	-0.31	eV/atom

***

First-principles (GGA-PBE) data for ZrIr2Pt after structural relaxation, as listed in Alexandria.

Lattice parameters (Å, degrees): 5.6907 7.5465 3.0414 90.00 90.00 90.00
With the nearest neighbours (Å) after each atom.
Space group Cmmm (No. 65)
Unique sites:
Zr 0.0000 0.0000 0.0000 x2  8 Ir 2.81, 2 Pt 2.85, 2 Zr 3.04
Ir 0.2500 0.2500 0.5000 x4  4 Zr 2.81, 4 Pt 2.81, 4 Ir 2.85-3.04
Pt 0.0000 0.5000 0.0000 x2  8 Ir 2.81, 2 Zr 2.85, 2 Pt 3.04

Computed properties:
energy of formation from the pure elements	-0.49	eV/atom

***

First-principles (GGA-PBE) data for Zr2Ir2Pt7 after structural relaxation, as listed in Alexandria.

Lattice parameters (Å, degrees): 4.6980 5.1280 8.6992 96.62 93.03 115.61
With the nearest neighbours (Å) after each atom.
Space group P-1 (No. 2)
Unique sites:
Zr 0.2100 0.3683 0.1226 x2  7 Pt 2.76-2.91
Ir 0.2103 0.2593 0.4654 x2  8 Pt 2.67-2.98, 2 Ir 2.70-2.75
Pt 0.1672 0.1922 0.8071 x2  5 Pt 2.73-3.05, 3 Zr 2.76-2.81, 2 Ir 2.98-3.04
Pt 0.2906 0.7692 0.3817 x2  4 Ir 2.67-2.72, 5 Pt 2.71-2.85, 1 Zr 2.76
Pt 0.3085 0.7174 0.7046 x2  6 Pt 2.70-2.85, 3 Ir 2.73-2.84, 2 Zr 2.83-2.87
Pt 0.5000 0.0000 0.0000 x1  4 Pt 2.70-2.77, 2 Zr 2.91

Computed properties:
energy of formation from the pure elements	-0.46	eV/atom